(1)
First-principles (PBE) data for an optimized crystal structure of ThIrBr, as listed in the Alexandria database.

The structure in CIF format:
```
data_ThIrBr
_cell_length_a 22.818
_cell_length_b 4.102
_cell_length_c 8.201
_cell_angle_alpha 90.00
_cell_angle_beta 94.61
_cell_angle_gamma 90.00
_space_group_name_H-M_alt 'C 1 2/m 1'
_space_group_IT_number 12
_space_group_name_Hall '-C 2y'
loop_
_atom_site_label
_atom_site_type_symbol
_atom_site_fract_x
_atom_site_fract_y
_atom_site_fract_z
_atom_site_occupancy
Th1 Th 0.164 0.000 0.099 1
Th2 Th 0.166 0.000 0.614 1
Ir1 Ir 0.247 0.500 0.124 1
Ir2 Ir 0.249 0.000 0.375 1
Br1 Br 0.069 0.000 0.338 1
Br2 Br 0.093 0.500 0.840 1
```

Calculated values
Calculated total energy, eV/atom: -7.046
Raw formation energy, eV/atom: -1.061
Density, g/cm3: 8.8

***

(2)
First-principles (PBE) data for an optimized crystal structure of Ti3IrBr, as listed in the Alexandria database.

The structure in CIF format:
```
data_Ti3IrBr
_cell_length_a 4.865
_cell_length_b 4.865
_cell_length_c 4.865
_cell_angle_alpha 90.00
_cell_angle_beta 90.00
_cell_angle_gamma 90.00
_space_group_name_H-M_alt 'P m -3 m'
_space_group_IT_number 221
_space_group_name_Hall '-P 4 2 3'
loop_
_atom_site_label
_atom_site_type_symbol
_atom_site_fract_x
_atom_site_fract_y
_atom_site_fract_z
_atom_site_occupancy
Ti1 Ti 0.000 0.000 0.500 1
Ir1 Ir 0.000 0.000 0.000 1
Br1 Br 0.500 0.500 0.500 1
```

Calculated values
Calculated total energy, eV/atom: -6.593
Raw formation energy, eV/atom: 0.251
Density, g/cm3: 6.0

***

(3)
First-principles (PBE) data for an optimized crystal structure of TiIr2Br, as listed in the Alexandria database.

The structure in CIF format:
```
data_TiIr2Br
_cell_length_a 6.414
_cell_length_b 6.414
_cell_length_c 6.414
_cell_angle_alpha 90.00
_cell_angle_beta 90.00
_cell_angle_gamma 90.00
_space_group_name_H-M_alt 'F m -3 m'
_space_group_IT_number 225
_space_group_name_Hall '-F 4 2 3'
loop_
_atom_site_label
_atom_site_type_symbol
_atom_site_fract_x
_atom_site_fract_y
_atom_site_fract_z
_atom_site_occupancy
Ti1 Ti 0.000 0.000 0.000 1
Ir1 Ir 0.250 0.250 0.250 1
Br1 Br 0.000 0.000 0.500 1
```

Calculated values
Calculated total energy, eV/atom: -6.302
Raw formation energy, eV/atom: 0.521
Density, g/cm3: 12.9

***

(4)
First-principles (PBE) data for an optimized crystal structure of Ti3IrBr, as listed in the Alexandria database.

The structure in CIF format:
```
data_Ti3IrBr
_cell_length_a 4.540
_cell_length_b 4.540
_cell_length_c 4.540
_cell_angle_alpha 90.00
_cell_angle_beta 90.00
_cell_angle_gamma 90.00
_space_group_name_H-M_alt 'P m -3 m'
_space_group_IT_number 221
_space_group_name_Hall '-P 4 2 3'
loop_
_atom_site_label
_atom_site_type_symbol
_atom_site_fract_x
_atom_site_fract_y
_atom_site_fract_z
_atom_site_occupancy
Ti1 Ti 0.000 0.000 0.500 1
Ir1 Ir 0.500 0.500 0.500 1
Br1 Br 0.000 0.000 0.000 1
```

Calculated values
Calculated total energy, eV/atom: -6.274
Raw formation energy, eV/atom: 0.570
Density, g/cm3: 7.4

***

(5)
First-principles (PBE) data for an optimized crystal structure of Ti2IrBr, as listed in the Alexandria database.

The structure in CIF format:
```
data_Ti2IrBr
_cell_length_a 6.425
_cell_length_b 6.425
_cell_length_c 6.425
_cell_angle_alpha 90.00
_cell_angle_beta 90.00
_cell_angle_gamma 90.00
_space_group_name_H-M_alt 'F m -3 m'
_space_group_IT_number 225
_space_group_name_Hall '-F 4 2 3'
loop_
_atom_site_label
_atom_site_type_symbol
_atom_site_fract_x
_atom_site_fract_y
_atom_site_fract_z
_atom_site_occupancy
Ti1 Ti 0.250 0.250 0.250 1
Ir1 Ir 0.000 0.000 0.000 1
Br1 Br 0.000 0.000 0.500 1
```

Calculated values
Calculated total energy, eV/atom: -6.646
Raw formation energy, eV/atom: -0.065
Density, g/cm3: 9.2

***

(6)
First-principles (PBE) data for an optimized crystal structure of Ti2IrBr, as listed in the Alexandria database.

The structure in CIF format:
```
data_Ti2IrBr
_cell_length_a 6.760
_cell_length_b 6.760
_cell_length_c 6.730
_cell_angle_alpha 90.00
_cell_angle_beta 90.00
_cell_angle_gamma 90.00
_space_group_name_H-M_alt 'I -4 2 d'
_space_group_IT_number 122
_space_group_name_Hall 'I -4 2bw'
loop_
_atom_site_label
_atom_site_type_symbol
_atom_site_fract_x
_atom_site_fract_y
_atom_site_fract_z
_atom_site_occupancy
Ti1 Ti 0.236 0.250 0.125 1
Ir1 Ir 0.000 0.000 0.000 1
Br1 Br 0.000 0.000 0.500 1
```

Calculated values
Calculated total energy, eV/atom: -6.610
Raw formation energy, eV/atom: -0.029
Density, g/cm3: 7.9

***

(7)
First-principles (PBE) data for an optimized crystal structure of TiIrBr3, as listed in the Alexandria database.

The structure in CIF format:
```
data_TiIrBr3
_cell_length_a 5.093
_cell_length_b 5.093
_cell_length_c 5.093
_cell_angle_alpha 90.00
_cell_angle_beta 90.00
_cell_angle_gamma 90.00
_space_group_name_H-M_alt 'P m -3 m'
_space_group_IT_number 221
_space_group_name_Hall '-P 4 2 3'
loop_
_atom_site_label
_atom_site_type_symbol
_atom_site_fract_x
_atom_site_fract_y
_atom_site_fract_z
_atom_site_occupancy
Ti1 Ti 0.000 0.000 0.000 1
Ir1 Ir 0.500 0.500 0.500 1
Br1 Br 0.000 0.000 0.500 1
```

Calculated values
Calculated total energy, eV/atom: -3.801
Raw formation energy, eV/atom: 0.554
Density, g/cm3: 6.0

***

(8)
First-principles (PBE) data for an optimized crystal structure of TiIr2Br, as listed in the Alexandria database.

The structure in CIF format:
```
data_TiIr2Br
_cell_length_a 5.579
_cell_length_b 5.579
_cell_length_c 11.655
_cell_angle_alpha 90.00
_cell_angle_beta 90.00
_cell_angle_gamma 90.00
_space_group_name_H-M_alt 'I -4 2 d'
_space_group_IT_number 122
_space_group_name_Hall 'I -4 2bw'
loop_
_atom_site_label
_atom_site_type_symbol
_atom_site_fract_x
_atom_site_fract_y
_atom_site_fract_z
_atom_site_occupancy
Ti1 Ti 0.000 0.000 0.000 1
Ir1 Ir 0.241 0.250 0.125 1
Br1 Br 0.000 0.000 0.500 1
```

Calculated values
Calculated total energy, eV/atom: -6.170
Raw formation energy, eV/atom: 0.652
Density, g/cm3: 9.4